Compound: TbNpIr2
Source: Alexandria
Functional: PBE
Structure: optimized geometry

```
TbNpIr2
1.0
3.952 0.000 0.000
1.976 3.423 0.000
1.976 1.141 6.606
Ir Tb Np
2 1 1
Direct
0.742 0.742 0.774
0.258 0.258 0.226
0.500 0.500 0.500
0.000 0.000 0.000
```

Output
Total energy, eV per atom: -9.229
Crystal system: trigonal
M_tot, μB per atom: 0.637
Energy above the lowest structure with this stoichiometry, eV/atom: 0.083

***

Compound: Na2TaAgHg
Source: Alexandria
Functional: PBE
Structure: optimized geometry

```
Na2TaAgHg
1.0
-0.100 -4.388 4.016
-1.093 -3.528 -3.882
5.823 -0.892 -0.830
Na Ta Ag Hg
2 1 1 1
Direct
0.500 0.000 0.000
0.000 0.000 0.500
0.000 0.000 0.000
0.500 0.500 0.500
0.000 0.500 0.000
```

Output
Total energy, eV per atom: -2.176
Crystal system: tetragonal
M_tot, μB per atom: 0.671

***

Compound: VSnI2
Source: Alexandria
Functional: PBE
Structure: optimized geometry

```
VSnI2
1.0
-9.610 -2.402 2.072
-0.009 -6.588 -7.681
-3.955 -6.462 -1.119
I Sn V
4 2 2
Direct
0.375 0.523 0.750
0.273 0.625 0.250
0.477 0.125 0.250
0.875 0.727 0.750
0.000 0.000 0.000
0.750 0.250 0.500
0.500 0.500 0.000
0.250 0.750 0.500
```

Output
Total energy, eV per atom: -3.999
Raw formation energy, eV/atom: 0.06
Crystal system: tetragonal
M_tot, μB per atom: 0.730
Energy above the lowest structure with this stoichiometry, eV/atom: 0.000

***

Compound: La3Pm6Sc
Source: Alexandria
Functional: PBE
Structure: optimized geometry

```
La3Pm6Sc
1.0
-0.830 5.282 3.428
2.316 -5.336 8.782
9.653 3.256 -2.679
Pm La Sc
12 6 2
Direct
0.079 0.676 0.560
0.579 0.560 0.676
0.079 0.440 0.324
0.409 0.577 0.987
0.745 0.059 0.941
0.101 0.744 0.256
0.579 0.324 0.440
0.601 0.256 0.744
0.909 0.423 0.013
0.909 0.987 0.577
0.409 0.013 0.423
0.245 0.941 0.059
0.091 0.357 0.643
0.946 0.130 0.278
0.591 0.643 0.357
0.446 0.870 0.722
0.446 0.278 0.130
0.946 0.722 0.870
0.682 0.852 0.148
0.182 0.148 0.852
```

Output
Total energy, eV per atom: -4.789
Crystal system: orthorhombic
M_tot, μB per atom: 0.000
Energy above the lowest structure with this stoichiometry, eV/atom: 0.000

***

> Look up the M_tot of the third one.

0.730 μB per atom